# 1
A plane-wave DFT calculation with PBE-GGA was carried out for a geometry-optimized TlIn4Hg7 structure.

```
TlIn4Hg7
1.0
6.722 -3.067 0.000
6.722 3.067 0.000
-5.283 0.000 8.132
Tl In Hg
1 4 7
Cartesian
0.000 0.000 0.000
-0.119 0.000 5.393
4.938 0.000 2.631
3.223 0.000 5.501
8.279 0.000 2.739
-1.755 0.000 2.764
-1.889 0.000 8.054
1.704 0.000 2.767
6.722 0.000 0.000
6.456 0.000 5.365
10.050 0.000 0.079
9.916 0.000 5.368
```

Summary:
E	-15.3	eV/cell
ρ	10.24	g/cm³
space-group type	No. 12

# 2
A plane-wave DFT calculation with PBE-GGA was carried out for a geometry-optimized PmAl9Ni2 structure.

```
PmAl9Ni2
1.0
-5.274 5.274 3.507
5.274 -5.274 3.507
5.274 5.274 -3.507
Pm Al Ni
2 18 4
Cartesian
5.274 2.637 0.877
0.000 2.637 2.630
5.274 -2.637 2.630
3.979 -0.538 1.316
6.569 -0.538 1.316
2.099 1.342 0.438
8.449 1.342 0.438
3.979 4.736 -1.316
1.295 -0.538 2.191
2.099 3.932 0.438
3.175 -1.342 3.945
2.099 6.616 -0.438
3.175 1.342 3.069
3.979 5.812 1.316
1.295 0.538 4.823
-3.175 3.932 3.069
3.175 3.932 3.069
-1.295 5.812 2.191
1.295 5.812 2.191
0.000 7.911 0.877
0.000 0.000 0.000
2.637 2.637 -1.753
2.637 -2.637 1.753
0.000 5.274 0.000
```

Summary:
E	-108.7	eV/cell
ρ	4.30	g/cm³
space-group type	No. 141

# 3
A plane-wave DFT calculation with PBE-GGA was carried out for a geometry-optimized Y3Ni2Rh structure.

```
Y3Ni2Rh
1.0
11.323 0.000 0.000
0.000 3.985 0.000
0.000 0.000 11.419
Y Ni Rh
12 8 4
Cartesian
0.620 0.996 1.403
1.366 2.989 6.386
2.355 0.996 9.213
3.306 2.989 3.503
4.296 0.996 0.677
5.041 2.989 7.113
6.281 0.996 4.306
7.027 2.989 10.743
8.016 0.996 7.916
8.968 2.989 2.207
9.957 0.996 5.033
10.703 2.989 10.016
0.140 2.989 3.483
2.085 2.989 11.387
3.577 0.996 5.678
5.522 0.996 9.192
5.801 2.989 2.227
7.746 2.989 5.742
9.238 0.996 0.032
11.183 0.996 7.936
1.437 0.996 4.250
4.225 2.989 9.960
7.098 0.996 1.459
9.886 2.989 7.169
```

Summary:
E	-164.7	eV/cell
ρ	6.28	g/cm³
space-group type	No. 62

# 4
A plane-wave DFT calculation with PBE-GGA was carried out for a geometry-optimized Zr2AlCl structure.

```
Zr2AlCl
1.0
4.519 0.000 0.000
0.000 1.595 5.664
0.000 -1.595 5.664
Zr Al Cl
2 1 1
Cartesian
0.000 0.000 0.000
2.259 0.000 3.276
2.259 0.000 6.336
0.000 0.000 8.882
```

Summary:
E	-24.3	eV/cell
uncorrected formation energy	-0.41	eV per atom
ρ	4.98	g/cm³
space-group type	No. 38

# 5
A plane-wave DFT calculation with PBE-GGA was carried out for a geometry-optimized TbGdBePd structure.

```
TbGdBePd
1.0
0.000 3.502 3.502
3.502 0.000 3.502
3.502 3.502 0.000
Tb Gd Be Pd
1 1 1 1
Cartesian
0.000 0.000 0.000
3.502 3.502 3.502
5.253 5.253 5.253
1.751 1.751 1.751
```

Summary:
E	-28.9	eV/cell
ρ	8.34	g/cm³
space-group type	No. 216

# 6
A plane-wave DFT calculation with PBE-GGA was carried out for a geometry-optimized MgAsPCl2 structure.

```
MgAsPCl2
1.0
4.905 0.000 0.000
0.000 4.905 0.000
0.000 0.000 5.016
Mg As P Cl
1 1 1 2
Cartesian
0.000 0.000 0.000
2.452 2.452 2.508
2.452 2.452 0.000
0.000 2.452 2.508
2.452 0.000 2.508
```

Summary:
E	-15.2	eV/cell
uncorrected formation energy	0.04	eV per atom
ρ	2.77	g/cm³
space-group type	No. 123

# 7
A plane-wave DFT calculation with PBE-GGA was carried out for a geometry-optimized TbNd3Ga3 structure.

```
TbNd3Ga3
1.0
9.439 0.000 0.000
-4.720 8.175 0.000
0.000 0.000 4.842
Tb Nd Ga
2 6 6
Cartesian
0.000 5.450 1.210
4.720 2.725 3.631
-1.047 2.134 3.631
-2.348 8.014 3.631
1.325 1.974 1.210
3.395 6.201 3.631
7.068 0.161 1.210
5.766 6.040 1.210
-2.295 4.943 3.631
1.586 3.716 3.631
4.011 0.484 1.210
0.708 7.690 3.631
3.134 4.459 1.210
7.014 3.232 1.210
```

Summary:
E	-61.3	eV/cell
ρ	7.12	g/cm³
space-group type	No. 176

# 8
A plane-wave DFT calculation with PBE-GGA was carried out for a geometry-optimized CuAsPt2 structure.

```
CuAsPt2
1.0
3.976 0.000 0.000
0.000 3.976 0.000
0.000 0.000 3.837
Cu As Pt
1 1 2
Cartesian
0.000 0.000 0.000
1.988 1.988 0.000
0.000 1.988 1.919
1.988 0.000 1.919
```

Summary:
E	-21.1	eV/cell
ρ	14.47	g/cm³
space-group type	No. 123